# 1
Density functional theory data (GGA-PBE) for a relaxed TbPm3Se4 crystal.

a b c (Å): 4.123 7.256 7.256
angles (deg): 108.89 90.00 90.00
Fractional positions:
Se  0.500  0.753  0.247
Se  0.000  0.243  0.243
Se  0.000  0.757  0.757
Se  0.500  0.247  0.753
Pm  0.000  0.000  0.500
Pm  0.000  0.500  0.000
Pm  0.500  0.500  0.500
Tb  0.500  0.000  0.000

Its energy relative to the elements, uncorrected is -1.8168 eV per atom.

# 2
Density functional theory data (GGA-PBE) for a relaxed TbPm2Se crystal.

a b c (Å): 3.856 3.856 9.996
angles (deg): 78.88 78.88 60.00
Fractional positions:
Pm  0.267  0.267  0.199
Pm  0.733  0.733  0.801
Se  0.000  0.000  0.000
Tb  0.500  0.500  0.500

Its energy relative to the elements, uncorrected is -0.7790 eV per atom.

# 3
Density functional theory data (GGA-PBE) for a relaxed Tb2PmSe5 crystal.

a b c (Å): 7.671 7.671 8.549
angles (deg): 116.65 116.65 90.00
Fractional positions:
Se  0.492  0.302  0.294
Se  0.000  0.000  0.000
Se  0.198  0.008  0.706
Se  0.008  0.508  0.706
Se  0.992  0.492  0.294
Se  0.500  0.500  0.000
Se  0.698  0.198  0.706
Se  0.802  0.992  0.294
Se  0.302  0.802  0.294
Se  0.508  0.698  0.706
Tb  0.845  0.655  0.000
Tb  0.155  0.345  0.000
Tb  0.345  0.845  0.000
Tb  0.655  0.155  0.000
Pm  0.750  0.750  0.500
Pm  0.250  0.250  0.500

Its energy relative to the elements, uncorrected is -1.6274 eV per atom.

# 4
Density functional theory data (GGA-PBE) for a relaxed Tb3Pm4Se8 crystal.

a b c (Å): 8.280 8.275 8.275
angles (deg): 89.98 120.05 120.05
Fractional positions:
Pm  0.000  0.500  0.000
Pm  0.000  0.000  0.500
Pm  0.500  0.000  0.000
Pm  0.000  0.000  0.000
Se  0.500  0.253  0.747
Se  0.000  0.745  0.255
Se  0.511  0.258  0.258
Se  0.994  0.742  0.742
Se  0.500  0.747  0.253
Se  0.006  0.258  0.258
Se  0.489  0.742  0.742
Se  0.000  0.255  0.745
Tb  0.500  0.000  0.500
Tb  0.500  0.500  0.000
Tb  0.500  0.500  0.500

Its energy relative to the elements, uncorrected is -1.8582 eV per atom.

# 5
Density functional theory data (GGA-PBE) for a relaxed Tb2Pm6Se3 crystal.

a b c (Å): 3.898 3.898 25.814
angles (deg): 85.67 85.67 60.00
Fractional positions:
Pm  0.926  0.926  0.221
Pm  0.185  0.185  0.444
Pm  0.074  0.074  0.779
Pm  0.642  0.642  0.074
Pm  0.358  0.358  0.926
Pm  0.815  0.815  0.556
Tb  0.556  0.556  0.333
Tb  0.444  0.444  0.667
Se  0.284  0.284  0.147
Se  0.000  0.000  0.000
Se  0.716  0.716  0.853

Its energy relative to the elements, uncorrected is -0.9028 eV per atom.

# 6
Density functional theory data (GGA-PBE) for a relaxed TbPm2Se3 crystal.

a b c (Å): 4.175 5.876 7.206
angles (deg): 114.06 106.84 90.00
Fractional positions:
Se  0.839  0.339  0.179
Se  0.161  0.661  0.821
Se  0.500  0.000  0.500
Pm  0.829  0.829  0.158
Pm  0.171  0.171  0.842
Tb  0.500  0.500  0.500

Its energy relative to the elements, uncorrected is -1.8121 eV per atom.

# 7
Density functional theory data (GGA-PBE) for a relaxed TbPm4Se6 crystal.

a b c (Å): 8.295 8.295 8.295
angles (deg): 88.85 88.85 91.15
Fractional positions:
Pm  0.750  0.750  0.250
Pm  0.250  0.637  0.137
Pm  0.863  0.250  0.363
Pm  0.750  0.363  0.863
Pm  0.137  0.750  0.637
Pm  0.363  0.137  0.250
Pm  0.637  0.863  0.750
Pm  0.250  0.250  0.750
Se  0.914  0.679  0.939
Se  0.061  0.914  0.321
Se  0.321  0.939  0.914
Se  0.939  0.086  0.679
Se  0.414  0.561  0.821
Se  0.439  0.821  0.414
Se  0.179  0.414  0.439
Se  0.679  0.061  0.086
Se  0.586  0.439  0.179
Se  0.561  0.179  0.586
Se  0.821  0.586  0.561
Se  0.086  0.321  0.061
Tb  0.500  0.500  0.500
Tb  0.000  0.000  0.000

Its energy relative to the elements, uncorrected is -1.7197 eV per atom.

# 8
Density functional theory data (GGA-PBE) for a relaxed TbPm2Se crystal.

a b c (Å): 3.895 3.895 9.830
angles (deg): 78.57 78.57 60.00
Last column: magnetic moment on the atom in μB.
Fractional positions:
Se  0.667  0.667  0.999  0.00
Tb  0.500  0.500  0.501  0.26
Pm  0.268  0.268  0.197  0.04
Pm  0.066  0.066  0.802  0.07

Its energy relative to the elements, uncorrected is -0.8009 eV per atom.

# 9
Density functional theory data (GGA-PBE) for a relaxed Tb3Pm4Se8 crystal.

a b c (Å): 8.167 8.167 8.964
angles (deg): 62.90 62.90 60.00
Fractional positions:
Se  0.750  0.750  0.262
Se  0.232  0.232  0.304
Se  0.250  0.250  0.738
Se  0.238  0.750  0.262
Se  0.750  0.238  0.262
Se  0.768  0.768  0.696
Se  0.250  0.762  0.738
Se  0.762  0.250  0.738
Pm  0.354  0.354  0.937
Pm  0.500  0.500  0.500
Pm  0.646  0.646  0.063
Pm  0.000  0.000  0.000
Tb  0.500  0.000  0.500
Tb  0.000  0.500  0.500
Tb  0.000  0.000  0.500

Its energy relative to the elements, uncorrected is -1.6287 eV per atom.

# 10
Density functional theory data (GGA-PBE) for a relaxed TbPmSe crystal.

a b c (Å): 3.633 3.633 6.834
angles (deg): 105.42 105.42 90.00
Fractional positions:
Pm  0.356  0.356  0.712
Se  0.004  0.004  0.007
Tb  0.640  0.640  0.281

Its energy relative to the elements, uncorrected is -0.9533 eV per atom.

# 11
Density functional theory data (GGA-PBE) for a relaxed Tb3PmSe4 crystal.

a b c (Å): 5.831 5.831 5.831
angles (deg): 90.00 90.00 90.00
Fractional positions:
Se  0.500  0.000  0.000
Se  0.000  0.000  0.500
Se  0.500  0.500  0.500
Se  0.000  0.500  0.000
Tb  0.500  0.500  0.000
Tb  0.000  0.500  0.500
Tb  0.500  0.000  0.500
Pm  0.000  0.000  0.000

Its energy relative to the elements, uncorrected is -1.7725 eV per atom.

# 12
Density functional theory data (GGA-PBE) for a relaxed TbPm3Se4 crystal.

a b c (Å): 5.903 5.903 5.903
angles (deg): 90.00 90.00 90.00
Fractional positions:
Tb  0.000  0.000  0.000
Se  0.500  0.000  0.000
Se  0.000  0.500  0.000
Se  0.500  0.500  0.500
Se  0.000  0.000  0.500
Pm  0.000  0.500  0.500
Pm  0.500  0.500  0.000
Pm  0.500  0.000  0.500

Its energy relative to the elements, uncorrected is -1.8043 eV per atom.

# 13
Density functional theory data (GGA-PBE) for a relaxed TbPm3Se6 crystal.

a b c (Å): 6.986 7.709 10.657
angles (deg): 90.00 90.65 90.00
Fractional positions:
Se  0.832  0.684  0.919
Se  0.674  0.181  0.917
Se  0.340  0.561  0.746
Se  0.326  0.819  0.083
Se  0.840  0.939  0.246
Se  0.668  0.184  0.581
Se  0.160  0.061  0.754
Se  0.332  0.816  0.419
Se  0.826  0.681  0.583
Se  0.660  0.439  0.254
Se  0.174  0.319  0.417
Se  0.168  0.316  0.081
Tb  0.500  0.500  0.500
Tb  0.000  0.000  0.000
Pm  0.454  0.104  0.252
Pm  0.500  0.500  0.000
Pm  0.546  0.896  0.748
Pm  0.046  0.604  0.248
Pm  0.954  0.396  0.752
Pm  0.000  0.000  0.500

Its energy relative to the elements, uncorrected is -1.8409 eV per atom.

# 14
Density functional theory data (GGA-PBE) for a relaxed Tb5PmSe6 crystal.

a b c (Å): 7.108 7.123 7.134
angles (deg): 60.05 80.36 70.41
Fractional positions:
Tb  0.000  0.334  0.331
Tb  0.500  0.162  0.675
Tb  0.500  0.500  0.000
Tb  0.000  0.666  0.669
Tb  0.500  0.838  0.325
Se  0.254  0.916  0.660
Se  0.251  0.256  0.000
Se  0.746  0.084  0.340
Se  0.746  0.424  0.660
Se  0.254  0.576  0.340
Se  0.749  0.744  0.000
Pm  0.000  0.000  0.000

Its energy relative to the elements, uncorrected is -1.7850 eV per atom.

# 15
Density functional theory data (GGA-PBE) for a relaxed Tb4Pm2Se9 crystal.

a b c (Å): 7.304 7.303 19.622
angles (deg): 90.00 90.00 60.00
Fractional positions:
Se  0.307  0.693  0.750
Se  0.972  0.657  0.916
Se  0.629  0.343  0.584
Se  0.629  0.028  0.084
Se  0.000  0.693  0.250
Se  0.657  0.972  0.416
Se  0.000  0.307  0.750
Se  0.972  0.371  0.416
Se  0.693  0.000  0.750
Se  0.343  0.629  0.084
Se  0.371  0.657  0.416
Se  0.693  0.307  0.250
Se  0.343  0.028  0.584
Se  0.028  0.629  0.584
Se  0.028  0.343  0.084
Se  0.307  0.000  0.250
Se  0.657  0.371  0.916
Se  0.371  0.972  0.916
Tb  0.667  0.667  0.514
Tb  0.667  0.667  0.818
Tb  0.334  0.333  0.682
Tb  0.666  0.667  0.318
Tb  0.333  0.333  0.986
Tb  0.667  0.667  0.014
Tb  0.333  0.333  0.182
Tb  0.333  0.333  0.486
Pm  0.000  0.000  0.149
Pm  0.000  0.000  0.851
Pm  0.000  0.000  0.351
Pm  0.000  0.000  0.649

Its energy relative to the elements, uncorrected is -1.8516 eV per atom.

# 16
Density functional theory data (GGA-PBE) for a relaxed Tb3PmSe4 crystal.

a b c (Å): 4.116 4.116 13.700
angles (deg): 81.36 81.36 60.00
Fractional positions:
Tb  0.500  0.500  0.500
Tb  0.249  0.249  0.253
Tb  0.751  0.751  0.747
Se  0.126  0.126  0.623
Se  0.623  0.623  0.131
Se  0.377  0.377  0.869
Se  0.874  0.874  0.377
Pm  0.000  0.000  0.000

Its energy relative to the elements, uncorrected is -1.7876 eV per atom.

# 17
Density functional theory data (GGA-PBE) for a relaxed Tb2PmSe4 crystal.

a b c (Å): 4.145 7.184 8.167
angles (deg): 117.65 104.70 90.00
Fractional positions:
Pm  0.000  0.000  0.000
Tb  0.735  0.743  0.469
Tb  0.265  0.257  0.531
Se  0.638  0.283  0.277
Se  0.127  0.805  0.254
Se  0.362  0.717  0.723
Se  0.873  0.195  0.746

Its energy relative to the elements, uncorrected is -1.8402 eV per atom.

# 18
Density functional theory data (GGA-PBE) for a relaxed Tb5Pm3Se8 crystal.

a b c (Å): 8.252 8.252 8.290
angles (deg): 60.15 60.15 60.00
Fractional positions:
Se  0.250  0.744  0.757
Se  0.747  0.747  0.760
Se  0.750  0.750  0.243
Se  0.253  0.253  0.240
Se  0.744  0.250  0.757
Se  0.250  0.250  0.757
Se  0.750  0.256  0.243
Se  0.256  0.750  0.243
Tb  0.500  0.500  0.500
Tb  0.000  0.000  0.000
Tb  0.500  0.000  0.000
Tb  0.500  0.500  0.000
Tb  0.000  0.500  0.000
Pm  0.000  0.500  0.500
Pm  0.500  0.000  0.500
Pm  0.000  0.000  0.500

Its energy relative to the elements, uncorrected is -1.7914 eV per atom.

# 19
Density functional theory data (GGA-PBE) for a relaxed Tb3PmSe6 crystal.

a b c (Å): 4.148 11.639 11.944
angles (deg): 109.02 90.00 90.00
Fractional positions:
Se  0.750  0.916  0.097
Se  0.750  0.481  0.615
Se  0.750  0.806  0.750
Se  0.250  0.886  0.535
Se  0.250  0.519  0.385
Se  0.250  0.605  0.939
Se  0.750  0.395  0.061
Se  0.750  0.743  0.275
Se  0.250  0.084  0.903
Se  0.250  0.194  0.250
Se  0.250  0.257  0.725
Se  0.750  0.114  0.465
Tb  0.250  0.565  0.167
Tb  0.250  0.841  0.916
Tb  0.250  0.318  0.499
Tb  0.750  0.159  0.084
Tb  0.750  0.682  0.501
Tb  0.750  0.435  0.833
Pm  0.750  0.046  0.694
Pm  0.250  0.954  0.306

Its energy relative to the elements, uncorrected is -1.8889 eV per atom.

# 20
Density functional theory data (GGA-PBE) for a relaxed TbPm2Se3 crystal.

a b c (Å): 4.101 4.101 21.096
angles (deg): 90.00 90.00 120.00
Fractional positions:
Pm  0.667  0.333  0.417
Pm  0.333  0.667  0.917
Pm  0.333  0.667  0.583
Pm  0.667  0.333  0.083
Tb  0.000  0.000  0.250
Tb  0.000  0.000  0.750
Se  0.667  0.333  0.668
Se  0.333  0.667  0.332
Se  0.667  0.333  0.832
Se  0.000  0.000  0.000
Se  0.000  0.000  0.500
Se  0.333  0.667  0.168

Its energy relative to the elements, uncorrected is -1.7961 eV per atom.